{"formula": "CeIn2WO8", "functional": "PBE+U", "state": "optimized geometry", "final_energy_ev_per_cell": -84.2, "cell": [[-3.345, 0.743, 3.541], [0.703, -4.642, 1.498], [4.875, 2.083, 4.169]], "species": ["Ce", "In", "In", "W", "O", "O", "O", "O", "O", "O", "O", "O"], "fractional_positions": [[0.000, 0.000, 0.500], [0.500, 0.500, 0.758], [0.500, 0.500, 0.242], [0.000, 0.000, 0.000], [0.185, 0.814, 0.214], [0.713, 0.714, 0.000], [0.815, 0.186, 0.214], [0.815, 0.186, 0.786], [0.287, 0.286, 0.000], [0.185, 0.814, 0.786], [0.691, 0.691, 0.500], [0.309, 0.309, 0.500]]}